# 1
Density functional theory data (PBE) for a relaxed Na3Ce3YTe8 crystal.

Structure (POSCAR):
```
Na3Ce3YTe8
1.0
7.7246 -4.4725 0.0000
7.7246 4.4725 0.0000
-0.0159 0.0000 7.7914
Na Ce Y Te
3 3 1 8
Direct
0.0000 0.0000 0.0000 Na
0.0000 0.5000 0.0000 Na
0.5000 0.0000 0.0000 Na
0.0000 0.5000 0.5000 Ce
0.5000 0.0000 0.5000 Ce
0.5000 0.5000 0.5000 Ce
0.0000 0.0000 0.5000 Y
0.1629 0.6718 0.2714 Te
0.1647 0.1647 0.2642 Te
0.3282 0.8371 0.7286 Te
0.3327 0.3327 0.7330 Te
0.6673 0.6673 0.2670 Te
0.6718 0.1629 0.2714 Te
0.8353 0.8353 0.7358 Te
0.8371 0.3282 0.7286 Te
```

Values from the calculation:
Volume in A^3/atom: 35.89
Raw formation energy in meV per atom: -1253


# 2
Density functional theory data (PBE) for a relaxed Na3CeY2Te6 crystal.

Structure (POSCAR):
```
Na3CeY2Te6
1.0
3.8796 -6.7207 0.0000
3.8796 6.7207 0.0000
-2.5899 0.0000 7.5500
Na Ce Y Te
3 1 2 6
Direct
0.0000 0.0000 0.0000 Na
0.3349 0.6651 0.0000 Na
0.6651 0.3349 0.0000 Na
0.5000 0.5000 0.5000 Ce
0.1669 0.8331 0.5000 Y
0.8331 0.1669 0.5000 Y
0.0802 0.4216 0.2652 Te
0.2368 0.2368 0.7350 Te
0.4216 0.0802 0.2652 Te
0.5784 0.9198 0.7348 Te
0.7632 0.7632 0.2650 Te
0.9198 0.5784 0.7348 Te
```

Values from the calculation:
Volume in A^3/atom: 32.81
Raw formation energy in meV per atom: -1302


# 3
Density functional theory data (PBE) for a relaxed Na2CeYTe4 crystal.

Structure (POSCAR):
```
Na2CeYTe4
1.0
7.8010 0.0000 0.0000
0.0000 4.5048 0.0000
-2.6019 0.0000 7.5406
Na Ce Y Te
2 1 1 4
Direct
0.0000 0.0000 0.0000 Na
0.5000 0.5000 0.0000 Na
0.0000 0.5000 0.5000 Ce
0.5000 0.0000 0.5000 Y
0.2532 0.0000 0.7376 Te
0.2621 0.5000 0.2659 Te
0.7379 0.5000 0.7341 Te
0.7468 0.0000 0.2624 Te
```

Values from the calculation:
Volume in A^3/atom: 33.12
Raw formation energy in meV per atom: -1291


| no. | electronic total energy (Ry per atom) | density of states at the Fermi level (states/eV/f.u.) |
| --- | --- | --- |
| 1 | -0.3535 | 13.03 |
| 2 | -0.3509 | 8.41 |
| 3 | -0.3485 | 6.46 |